No. 1
The following is a PBE calculation of crystalline NaReBiAs at its relaxed geometry, from the Open Quantum Materials Database.

For the total magnetization, the calculation gives 0.017 μB per atom. For the total energy, the calculation gives -5.11 eV/atom. The calculation puts the density at 10.777 Mg/m³.

Lattice parameters (Å, degrees): 4.754 4.754 4.754 60.00 60.00 60.00
Fractional positions:
As (0.500, 0.500, 0.500)
Bi (0.000, 0.000, 0.000)
Na (0.750, 0.750, 0.750)
Re (0.250, 0.250, 0.250)

---

No. 2
The following is a PBE calculation of crystalline Pr2Nd2CBr2Cl3 at its relaxed geometry, from the Open Quantum Materials Database.

For the total magnetization, the calculation gives 0.021 μB per atom. For the total energy, the calculation gives -5.30 eV/atom. The calculation puts the density at 5.030 Mg/m³.

Lattice parameters (Å, degrees): 9.180 9.180 8.182 103.05 103.05 24.68
Fractional positions:
Br (0.166, 0.166, 0.359)
Br (0.834, 0.834, 0.641)
C (0.500, 0.500, 0.000)
Cl (0.830, 0.830, 0.162)
Cl (0.500, 0.500, 0.500)
Cl (0.170, 0.170, 0.838)
Nd (0.997, 0.997, 0.213)
Nd (0.003, 0.003, 0.787)
Pr (0.645, 0.645, 0.081)
Pr (0.355, 0.355, 0.919)